Record 1
Below is a relaxed structure of Cr2GeBi, with properties calculated at the GGA-PBE level.

a = 4.130 Å, b = 4.130 Å, c = 17.565 Å
α = 90.00°, β = 90.00°, γ = 90.00°
Fractional positions:
Cr 0.140 0.250 0.125
Cr 0.250 0.640 0.375
Cr 0.250 0.860 0.875
Cr 0.360 0.250 0.625
Cr 0.640 0.750 0.625
Cr 0.750 0.140 0.875
Cr 0.750 0.360 0.375
Cr 0.860 0.750 0.125
Ge 0.000 0.000 0.000
Ge 0.000 0.500 0.250
Ge 0.500 0.000 0.750
Ge 0.500 0.500 0.500
Bi 0.000 0.000 0.500
Bi 0.000 0.500 0.750
Bi 0.500 0.000 0.250
Bi 0.500 0.500 0.000

E above lowest polymorph: 145.2 meV/atom

***

Record 2
Below is a relaxed structure of Cr2Ge2Bi, with properties calculated at the GGA-PBE level.

a = 3.745 Å, b = 3.745 Å, c = 12.958 Å
α = 90.00°, β = 90.00°, γ = 90.00°
Fractional positions:
Cr 0.000 0.000 0.113
Cr 0.000 0.000 0.887
Cr 0.500 0.500 0.387
Cr 0.500 0.500 0.613
Ge 0.000 0.500 0.250
Ge 0.000 0.500 0.750
Ge 0.500 0.000 0.250
Ge 0.500 0.000 0.750
Bi 0.000 0.000 0.500
Bi 0.500 0.500 0.000

E above lowest polymorph: 0.0 meV/atom

***

Record 3
Below is a relaxed structure of CrGe2Bi, with properties calculated at the GGA-PBE level.

a = 4.689 Å, b = 4.689 Å, c = 17.165 Å
α = 90.00°, β = 90.00°, γ = 90.00°
Fractional positions:
Cr 0.000 0.000 0.000
Cr 0.000 0.500 0.250
Cr 0.500 0.000 0.750
Cr 0.500 0.500 0.500
Ge 0.132 0.250 0.125
Ge 0.250 0.632 0.375
Ge 0.250 0.868 0.875
Ge 0.368 0.250 0.625
Ge 0.632 0.750 0.625
Ge 0.750 0.132 0.875
Ge 0.750 0.368 0.375
Ge 0.868 0.750 0.125
Bi 0.000 0.000 0.500
Bi 0.000 0.500 0.750
Bi 0.500 0.000 0.250
Bi 0.500 0.500 0.000

Total energy: -5.27 eV/atom

***

Number 1: DOS(E_F) 0.779 states/eV/atom. Number 2: DOS(E_F) 0.687 states/eV/atom. Number 3: DOS(E_F) 0.656 states/eV/atom.